# 1
# CaTcN3

A geometry-optimized CaTcN3 structure (PBE, Alexandria via LeMat-Bulk).

extended XYZ file:
```
10
Lattice="3.4562 0.0000 0.0000 0.0000 8.7350 0.0000 0.0000 0.0000 4.5010" Properties=species:S:1:pos:R:3 pbc="T T T"
Ca 0.0000 1.4290 0.0000
Ca 1.7281 7.3059 2.2505
Tc 0.0000 4.9805 4.4968
Tc 1.7281 3.7545 2.2463
N 0.0000 3.5505 3.2578
N 0.0000 6.8835 4.0611
N 0.0000 7.7442 0.4997
N 1.7281 0.9908 2.7502
N 1.7281 1.8515 1.8106
N 1.7281 5.1845 1.0073
```

Results
Magnetic moment   0.0 Bohr magnetons per cell
Raw formation energy   -0.32 eV per atom
E_tot   -77.899 eV/cell

---

# 2
# CaTcN3

A geometry-optimized CaTcN3 structure (PBE, Alexandria via LeMat-Bulk).

extended XYZ file:
```
10
Lattice="-1.7268 1.7268 10.9905 1.7268 -1.7268 10.9905 1.7268 1.7268 -10.9905" Properties=species:S:1:pos:R:3 pbc="T T T"
Ca 0.0000 0.0000 0.0000
Ca 0.0000 1.7268 5.4953
Tc 1.7268 0.0000 2.8744
Tc 1.7268 0.0000 8.1161
N 0.0000 0.0000 7.0470
N 0.0000 1.0889 2.1283
N 0.0000 0.0000 14.9340
N 0.0000 2.3647 2.1283
N -0.6379 1.7268 8.8622
N 0.6379 1.7268 8.8622
```

Results
Magnetic moment   0.0 Bohr magnetons per cell
Raw formation energy   0.05 eV per atom
E_tot   -74.194 eV/cell

---

# 3
# Ca2TcN3

A geometry-optimized Ca2TcN3 structure (PBE, Alexandria via LeMat-Bulk).

extended XYZ file:
```
12
Lattice="5.6328 -3.3028 0.0000 5.6328 3.3028 0.0000 0.0000 0.0000 5.1592" Properties=species:S:1:pos:R:3 pbc="T T T"
Ca 3.8716 2.0595 2.5796
Ca 7.3941 2.0595 2.5796
Ca 3.8716 -2.0595 0.0000
Ca 7.3941 -2.0595 0.0000
Tc 5.6328 1.2524 0.1508
Tc 5.6328 -1.2524 2.7304
N 4.0148 2.1435 5.1036
N 7.2508 2.1435 5.1036
N 5.6328 0.5623 1.9759
N 5.6328 -0.5623 4.5554
N 4.0148 -2.1435 2.5240
N 7.2508 -2.1435 2.5240
```

Results
Magnetic moment   0.0 Bohr magnetons per cell
Excess energy over the best structure of this formula in the dataset   3.4 kJ per mole of atoms
Raw formation energy   -0.67 eV per atom
E_tot   -86.777 eV/cell

---

# 4
# CaTcN3

A geometry-optimized CaTcN3 structure (PBE, Alexandria via LeMat-Bulk).

extended XYZ file:
```
10
Lattice="3.4368 0.0000 0.0000 0.4258 5.5156 0.0000 0.5463 2.0233 6.5428" Properties=species:S:1:pos:R:3 pbc="T T T"
Ca 0.0000 0.0000 0.0000
Ca 0.7891 5.7471 3.5779
Tc 2.0210 2.8870 3.9823
Tc 2.6736 4.8108 6.0951
N 0.9782 4.0783 5.2799
N 2.0872 3.9868 2.4830
N 2.1053 4.2656 1.2752
N 2.5889 6.6323 5.0641
N 2.1024 1.5035 2.3173
N 2.0932 1.7345 1.1026
```

Results
Magnetic moment   0.0 Bohr magnetons per cell
Raw formation energy   -0.32 eV per atom
E_tot   -77.908 eV/cell

---

# 5
# CaTcN3

A geometry-optimized CaTcN3 structure (PBE, Alexandria via LeMat-Bulk).

extended XYZ file:
```
5
Lattice="4.5357 0.0000 0.0000 0.0000 3.4533 0.0000 -1.1362 0.0000 4.5978" Properties=species:S:1:pos:R:3 pbc="T T T"
Ca 0.0000 0.0000 0.0000
Tc 1.3707 1.7267 2.8003
N -0.3160 1.7267 1.7001
N 1.0926 0.0000 3.6320
N 3.2068 1.7267 2.4945
```

Results
Magnetic moment   0.0 Bohr magnetons per cell
Raw formation energy   -0.24 eV per atom
E_tot   -38.543 eV/cell

---

# 6
# CaTcN3

A geometry-optimized CaTcN3 structure (PBE, Alexandria via LeMat-Bulk).

extended XYZ file:
```
10
Lattice="3.6836 0.0000 0.0000 0.0000 4.6643 0.0000 -1.3930 0.0000 7.6182" Properties=species:S:1:pos:R:3 pbc="T T T"
Ca -0.0768 0.0000 2.5344
Ca 2.3673 2.3322 5.0839
Tc 1.3096 2.2910 0.6248
Tc 0.9809 4.6232 6.9934
N -0.7996 3.7243 7.1921
N 0.3480 2.3653 3.4903
N 1.0716 2.3299 2.4803
N 1.2189 4.6621 5.1380
N 1.9426 0.0332 4.1279
N 3.0901 1.3922 0.4261
```

Results
Magnetic moment   0.0 Bohr magnetons per cell
Raw formation energy   -0.33 eV per atom
E_tot   -78.018 eV/cell